Record 1
Below is AgF at its PBEsol-relaxed geometry, with properties calculated at the meta-GGA SCAN level.

Cell lengths 3.4475, 3.4475, 3.4475 Å; angles 60.00, 60.00, 60.00 degrees
With the nearest neighbours (Å) after each atom.
Fractional positions:
Ag: 0.0000 0.0000 0.0000  6 F 2.44
F: 0.5000 0.5000 0.5000  6 Ag 2.44

---

Record 2
Below is Ag2F3 at its PBEsol-relaxed geometry, with properties calculated at the meta-GGA SCAN level.

Cell lengths 5.6407, 5.6407, 6.3343 Å; angles 63.56, 63.56, 60.00 degrees
With the nearest neighbours (Å) after each atom.
Fractional positions:
Ag: 0.1552 0.1552 0.5345  6 F 2.27-2.35
Ag: 0.3448 0.3448 0.9655  6 F 2.27-2.35
Ag: 0.6552 0.6552 0.0345  6 F 2.27-2.35
Ag: 0.8448 0.8448 0.4655  6 F 2.27-2.35
F: 0.7500 0.4374 0.7500  4 Ag 2.27-2.35
F: 0.0626 0.7500 0.7500  4 Ag 2.27-2.35
F: 0.4374 0.0626 0.7500  4 Ag 2.27-2.35
F: 0.5626 0.9374 0.2500  4 Ag 2.27-2.35
F: 0.9374 0.2500 0.2500  4 Ag 2.27-2.35
F: 0.2500 0.5626 0.2500  4 Ag 2.27-2.35

---

Number 1: DOS at the Fermi energy 0.57 states/eV per atom, formation energy (no corrections) -2.1 eV/f.u.. Number 2: DOS at the Fermi energy 0.57 states/eV per atom, formation energy (no corrections) -5.8 eV/f.u..